5
Lattice="-2.053 4.091 0.870 -3.152 -1.525 -0.269 0.064 -0.938 4.563" Properties=species:S:1:pos:R:3 comment="Li2NbSiC (GGA-PBE, optimized geometry)" dos_at_fermi_per_ev_fu=2.58 sg="P4/mmm (123)" total_energy_ev_per_cell=-22.51 raw_formation_energy_ev_per_atom=1.21 pbc="T T T"
Nb -2.571 0.814 2.582
Li -1.027 2.046 0.435
Li 0.032 -0.469 2.282
Si 0.000 0.000 0.000
C -1.576 -0.762 -0.135